{"formula": "TcIOF2", "functional": "meta-GGA SCAN", "state": "PBEsol geometry", "lattice": [[-1.9454, 0.9472, 2.9855], [-1.2376, -4.1684, 0.5160], [3.5078, -0.7299, 2.5173]], "species": ["O", "F", "F", "I", "Tc"], "fractional_positions": [[0.5000, 0.0000, 0.0000], [0.0000, 0.5000, 0.0000], [0.0000, 0.0000, 0.5000], [0.5000, 0.5000, 0.5000], [0.0000, 0.0000, 0.0000]], "raw_formation_energy_ev_per_fu": -4.58, "dft_energy_ev_per_atom": -17.938, "m_tot_mub_per_atom": 0.287}